Entry from the Alexandria database: a relaxed Zr5Sc5Tl crystal (GGA-PBE).

ΔH_f (0 K) ... 274 meV/atom
E_tot ... -6.70 eV/atom
Total magnetization ... 0.00 μB per formula unit

Cell: 5.644 5.644 10.071 Å, 90.00 90.00 120.00°
Fractional positions:
Sc 0.333 0.667 0.809
Sc 0.667 0.333 0.687
Sc 0.000 0.000 0.000
Sc 0.333 0.667 0.191
Sc 0.667 0.333 0.313
Zr 0.171 0.341 0.500
Zr 0.171 0.829 0.500
Zr 0.659 0.829 0.500
Zr 0.000 0.000 0.265
Zr 0.000 0.000 0.735
Tl 0.667 0.333 0.000